Here is ZnCr2Pb after structural relaxation from Alexandria. Energies are from GGA-PBE.

Cell lengths 3.193, 3.193, 6.971 Å; angles 90.00, 90.00, 90.00 degrees
Sites, in units of the cell vectors:
Zn (0.000, 0.000, 0.000)
Cr (0.000, 0.000, 0.381)
Cr (0.500, 0.500, 0.215)
Pb (0.500, 0.500, 0.679)

Values from the calculation:
**Volume**: 17.8 A^3/atom
**DFT formation energy**: 0.36 eV per atom
**Density of states at the Fermi level**: 2.09 states/eV/f.u.